Record 1
DFT (GGA-PBE) results for a relaxed structure of KYIn2Cl6.

```
data_KYIn2Cl6
_chemical_formula_sum 'K3 Y3 In6 Cl18'
_space_group_name_H-M_alt 'R 3'
_space_group_IT_number 146
_space_group_name_Hall 'R 3'
_cell_length_a 7.7815
_cell_length_b 7.7815
_cell_length_c 19.7680
_cell_angle_alpha 90.00
_cell_angle_beta 90.00
_cell_angle_gamma 120.00
loop_
_atom_site_label
_atom_site_type_symbol
_atom_site_fract_x
_atom_site_fract_y
_atom_site_fract_z
_atom_site_occupancy
K1 K 0.0000 0.0000 0.0000 1
Y1 Y 0.0000 0.0000 0.4928 1
In1 In 0.0000 0.0000 0.2868 1
In2 In 0.0000 0.0000 0.7898 1
Cl1 Cl 0.0176 0.4126 0.2294 1
Cl2 Cl 0.0819 0.6957 0.0733 1
```

Record 2
DFT (GGA-PBE) results for a relaxed structure of KZnInCl4.

```
data_KZnInCl4
_chemical_formula_sum 'K2 Zn2 In2 Cl8'
_space_group_name_H-M_alt 'P 1 21/m 1'
_space_group_IT_number 11
_cell_length_a 7.2289
_cell_length_b 7.1672
_cell_length_c 8.7844
_cell_angle_alpha 90.00
_cell_angle_beta 108.25
_cell_angle_gamma 90.00
loop_
_space_group_symop_operation_xyz
'x,y,z'
'-x,-y,-z'
'-x,y+1/2,-z'
'x,-y+1/2,z'
loop_
_atom_site_label
_atom_site_type_symbol
_atom_site_fract_x
_atom_site_fract_y
_atom_site_fract_z
_atom_site_occupancy
K1 K 0.2184 0.2500 0.0550 1
Zn1 Zn 0.2299 0.7500 0.7984 1
In1 In 0.2685 0.2500 0.5732 1
Cl1 Cl 0.0168 0.5015 0.7423 1
Cl2 Cl 0.4039 0.7500 0.0646 1
Cl3 Cl 0.4197 0.7500 0.6354 1
```

Record 3
DFT (GGA-PBE) results for a relaxed structure of KZnInCl6.

```
data_KZnInCl6
_chemical_formula_sum 'K2 Zn2 In2 Cl12'
_space_group_name_H-M_alt 'P -3 1 c'
_space_group_IT_number 163
_space_group_name_Hall '-P 3 2c'
_cell_length_a 6.5595
_cell_length_b 6.5595
_cell_length_c 14.0201
_cell_angle_alpha 90.00
_cell_angle_beta 90.00
_cell_angle_gamma 120.00
loop_
_atom_site_label
_atom_site_type_symbol
_atom_site_fract_x
_atom_site_fract_y
_atom_site_fract_z
_atom_site_occupancy
K1 K 0.0000 0.0000 0.0000 1
Zn1 Zn 0.3333 0.6667 0.2500 1
In1 In 0.3333 0.6667 0.7500 1
Cl1 Cl 0.0069 0.3757 0.1468 1
```

Number 1: uncorrected formation energy -1.66 eV/atom. Number 2: uncorrected formation energy -1.31 eV/atom. Number 3: uncorrected formation energy -1.31 eV/atom.